Below is an optimized crystal structure of TaSb2As, with properties calculated at the PBEsol level.

Properties
The total moment is 0.0 μB per cell. The formation energy from raw total energies comes out at 438 meV/atom. The space-group type is No. 216. The crystal system is cubic.

Lattice parameters (Å, degrees): 4.8875 4.8875 4.8875 60.00 60.00 60.00
Element x y z (fractional)
Ta: 0.0000 0.0000 0.0000
Sb: 0.5000 0.5000 0.5000
Sb: 0.7500 0.7500 0.7500
As: 0.2500 0.2500 0.2500

Below is an optimized crystal structure of Mn3SnH, with properties calculated at the PBEsol level.

Properties
The raw total energy comes out at -36.796 eV per cell. The total moment is 6.1 μB per cell. The space-group type is No. 221. The crystal system is cubic.

Lattice parameters (Å, degrees): 3.7960 3.7960 3.7960 90.00 90.00 90.00
Element x y z (fractional)
Mn: 0.0000 0.0000 0.5000
Mn: 0.0000 0.5000 0.0000
Mn: 0.5000 0.0000 0.0000
Sn: 0.5000 0.5000 0.5000
H: 0.0000 0.0000 0.0000